Record 1
This record from the Alexandria database describes crystalline Ca2HoThBi4 at its relaxed geometry. The functional is GGA-PBE.

Computed properties:
- N(E_F): 0.62 states/eV per atom
- DFT total energy: -4.676 eV/atom
- Energy relative to the elements: -0.74 eV per atom

```
Ca2HoThBi4
1.0
7.896 0.000 0.000
0.000 4.584 0.000
-2.658 0.000 7.543
Ca Ho Th Bi
2 1 1 4
Direct
0.000 0.000 0.000 Ca
0.500 0.500 0.000 Ca
0.000 0.500 0.500 Ho
0.500 0.000 0.500 Th
0.242 0.000 0.741 Bi
0.247 0.500 0.255 Bi
0.753 0.500 0.745 Bi
0.758 0.000 0.259 Bi
```

---

Record 2
This record from the Alexandria database describes crystalline Zr2NbBi at its relaxed geometry. The functional is GGA-PBE.

Computed properties:
- N(E_F): 1.47 states/eV per atom
- DFT total energy: -7.650 eV/atom
- Energy relative to the elements: 0.11 eV per atom

```
Zr2NbBi
1.0
1.678 0.969 9.604
-1.678 0.969 9.604
0.000 -1.938 9.604
Zr Nb Bi
2 1 1
Direct
0.000 0.000 0.000 Zr
0.154 0.154 0.154 Zr
0.411 0.411 0.411 Nb
0.578 0.578 0.578 Bi
```

---

Record 3
This record from the Alexandria database describes crystalline Ga2Ni2Ge at its relaxed geometry. The functional is GGA-PBE.

Computed properties:
- N(E_F): 0.48 states/eV per atom
- DFT total energy: -4.488 eV/atom
- Energy relative to the elements: -0.04 eV per atom
- Energy above the most stable polymorph in this dataset: 274 meV per atom

```
Ga2Ni2Ge
1.0
-1.787 1.787 5.818
1.787 -1.787 5.818
1.787 1.787 -5.818
Ga Ni Ge
2 2 1
Direct
0.250 0.750 0.500 Ga
0.750 0.250 0.500 Ga
0.104 0.104 0.000 Ni
0.896 0.896 0.000 Ni
0.500 0.500 0.000 Ge
```

---

Record 4
This record from the Alexandria database describes crystalline Na2GePbO4 at its relaxed geometry. The functional is GGA-PBE.

Computed properties:
- ΔE_f (raw): -1611.4 meV/atom
- N(E_F): 0.00 states/eV per atom
- DFT total energy: -5.461 eV/atom

```
Na2GePbO4
1.0
7.890 0.000 0.000
0.000 6.080 0.000
0.000 0.000 5.350
Na Ge Pb O
4 2 2 8
Direct
0.246 0.182 0.000 Na
0.254 0.818 0.500 Na
0.746 0.818 0.500 Na
0.754 0.182 0.000 Na
0.000 0.329 0.523 Ge
0.500 0.671 0.023 Ge
0.000 0.707 0.996 Pb
0.500 0.293 0.496 Pb
0.000 0.355 0.861 O
0.000 0.611 0.413 O
0.189 0.191 0.437 O
0.311 0.809 0.937 O
0.500 0.389 0.913 O
0.500 0.645 0.361 O
0.689 0.809 0.937 O
0.811 0.191 0.437 O
```

---

Record 5
This record from the Alexandria database describes crystalline Cr2InP at its relaxed geometry. The functional is GGA-PBE.

Computed properties:
- N(E_F): 0.71 states/eV per atom
- DFT total energy: -6.710 eV/atom
- Energy relative to the elements: 0.14 eV per atom
- Energy above the most stable polymorph in this dataset: 113 meV per atom

```
Cr2InP
1.0
2.990 0.000 0.000
0.000 3.322 0.000
-1.009 0.000 6.026
Cr In P
2 1 1
Direct
0.083 0.000 0.329 Cr
0.917 0.000 0.671 Cr
0.500 0.500 0.000 In
0.500 0.500 0.500 P
```

---

Record 6
This record from the Alexandria database describes crystalline PmMg2Pt at its relaxed geometry. The functional is GGA-PBE.

Computed properties:
- N(E_F): 0.55 states/eV per atom
- DFT total energy: -4.203 eV/atom
- Energy relative to the elements: -0.71 eV per atom
- Energy above the most stable polymorph in this dataset: 0 meV per atom

```
PmMg2Pt
1.0
2.117 -5.186 0.000
2.117 5.186 0.000
0.000 0.000 8.290
Pm Mg Pt
2 4 2
Direct
0.061 0.939 0.750 Pm
0.939 0.061 0.250 Pm
0.348 0.652 0.554 Mg
0.348 0.652 0.946 Mg
0.652 0.348 0.054 Mg
0.652 0.348 0.446 Mg
0.231 0.769 0.250 Pt
0.769 0.231 0.750 Pt
```